1.
Material: CaRuPt2
Method: DFT, PBE
State: relaxed

The structure in POSCAR format:
```
CaRuPt2
1.0
2.8346 0.0000 0.0000
0.0000 3.7519 0.0000
0.0000 0.0000 6.7195
Ca Ru Pt
1 1 2
direct
0.0000 0.0000 0.0000
0.0000 0.0000 0.5000
0.5000 0.5000 0.2949
0.5000 0.5000 0.7051
```

Results
calculated formation energy	-201	meV/atom
DOS(E_F)	1.247	states/eV per atom
ΔE to the lowest computed polymorph	58.1	meV per atom

***

2.
Material: MgCr3W
Method: DFT, PBE
State: relaxed

The structure in POSCAR format:
```
MgCr3W
1.0
4.7137 0.0000 0.0000
0.0000 4.7137 0.0000
0.0000 0.0000 4.7137
Mg Cr W
1 3 1
direct
0.0000 0.0000 0.0000
0.0000 0.5000 0.5000
0.5000 0.0000 0.5000
0.5000 0.5000 0.0000
0.5000 0.5000 0.5000
```

Results
calculated formation energy	1319	meV/atom
DOS(E_F)	0.560	states/eV per atom
ΔE to the lowest computed polymorph	0.0	meV per atom

***

3.
Material: KCl5
Method: DFT, PBE
State: relaxed

The structure in POSCAR format:
```
KCl5
1.0
7.9416 0.0000 0.0000
0.0000 6.1295 0.0000
-2.5382 0.0000 8.8253
K Cl
2 10
direct
0.0000 0.0000 0.0000
0.5000 0.5000 0.0000
0.0690 0.0000 0.6417
0.1076 0.5000 0.0199
0.2603 0.0000 0.3772
0.3143 0.0000 0.8076
0.4183 0.0000 0.2322
0.5690 0.5000 0.6417
0.6076 0.0000 0.0199
0.7603 0.5000 0.3772
0.8143 0.5000 0.8076
0.9183 0.5000 0.2322
```

Results
DOS(E_F)	0.000	states/eV per atom
ΔE to the lowest computed polymorph	0.0	meV per atom
energy relative to the elements, uncorrected	-0.6627	eV per atom

***

4.
Material: Er4Zn3Ni
Method: DFT, PBE
State: relaxed

The structure in POSCAR format:
```
Er4Zn3Ni
1.0
3.6503 0.0000 0.0000
0.0000 4.4811 0.0000
0.0000 0.0000 10.7397
Er Zn Ni
4 3 1
direct
0.0000 0.0000 0.0000
0.0000 0.5000 0.2715
0.5000 0.0000 0.4672
0.5000 0.5000 0.7842
0.0000 0.0000 0.7016
0.0000 0.5000 0.5568
0.5000 0.5000 0.0619
0.5000 0.0000 0.2002
```

Results
calculated formation energy	-337	meV/atom
DOS(E_F)	1.066	states/eV per atom
ΔE to the lowest computed polymorph	38.9	meV per atom

***

5.
Material: Dy4Ga3Ir
Method: DFT, PBE
State: relaxed

The structure in POSCAR format:
```
Dy4Ga3Ir
1.0
3.9978 0.0000 0.0000
0.0000 4.2795 0.0000
0.0000 0.0000 10.8604
Dy Ga Ir
4 3 1
direct
0.0000 0.0000 0.0000
0.0000 0.5000 0.2675
0.5000 0.0000 0.4714
0.5000 0.5000 0.7770
0.0000 0.0000 0.7052
0.0000 0.5000 0.5546
0.5000 0.5000 0.0548
0.5000 0.0000 0.2006
```

Results
calculated formation energy	-681	meV/atom
DOS(E_F)	0.863	states/eV per atom

***

6.
Material: Li2MoAs
Method: DFT, PBE
State: relaxed

The structure in POSCAR format:
```
Li2MoAs
1.0
7.1324 0.0000 0.0000
0.0000 7.1324 0.0000
0.0000 0.0000 4.9113
Li Mo As
8 4 4
direct
0.2228 0.2500 0.1250
0.2500 0.7228 0.3750
0.2500 0.7772 0.8750
0.2772 0.2500 0.6250
0.7228 0.7500 0.6250
0.7500 0.2228 0.8750
0.7500 0.2772 0.3750
0.7772 0.7500 0.1250
0.0000 0.0000 0.5000
0.0000 0.5000 0.7500
0.5000 0.0000 0.2500
0.5000 0.5000 0.0000
0.0000 0.0000 0.0000
0.0000 0.5000 0.2500
0.5000 0.0000 0.7500
0.5000 0.5000 0.5000
```

Results
calculated formation energy	266	meV/atom
DOS(E_F)	0.684	states/eV per atom

***

7.
Material: Li2ZrTe
Method: DFT, PBE
State: relaxed

The structure in POSCAR format:
```
Li2ZrTe
1.0
3.3925 0.0000 0.0000
0.0000 4.5904 0.0000
-1.3990 0.0000 5.3770
Li Zr Te
2 1 1
direct
0.1271 0.0000 0.2529
0.8729 0.0000 0.7471
0.5000 0.5000 0.0000
0.0000 0.5000 0.5000
```

Results
DOS(E_F)	0.696	states/eV per atom
energy relative to the elements, uncorrected	-0.2087	eV per atom

***

8.
Material: BaZr2Sc
Method: DFT, PBE
State: relaxed

The structure in POSCAR format:
```
BaZr2Sc
1.0
3.3735 0.0000 0.0000
0.0000 4.4666 0.0000
0.0000 0.0000 7.8651
Ba Zr Sc
1 2 1
direct
0.0000 0.0000 0.0000
0.5000 0.5000 0.3150
0.5000 0.5000 0.6850
0.0000 0.0000 0.5000
```

Results
calculated formation energy	379	meV/atom
DOS(E_F)	1.470	states/eV per atom
ΔE to the lowest computed polymorph	97.2	meV per atom

***

9.
Material: ThMgAlGa
Method: DFT, PBE
State: relaxed

The structure in POSCAR format:
```
ThMgAlGa
1.0
7.1253 0.0000 0.0000
0.0000 7.1253 0.0000
0.0000 0.0000 7.1253
Th Mg Al Ga
4 4 4 4
direct
0.0000 0.0000 0.0000
0.0000 0.5000 0.5000
0.5000 0.0000 0.5000
0.5000 0.5000 0.0000
0.0000 0.0000 0.5000
0.0000 0.5000 0.0000
0.5000 0.0000 0.0000
0.5000 0.5000 0.5000
0.2500 0.2500 0.2500
0.2500 0.7500 0.7500
0.7500 0.2500 0.7500
0.7500 0.7500 0.2500
0.2500 0.2500 0.7500
0.2500 0.7500 0.2500
0.7500 0.2500 0.2500
0.7500 0.7500 0.7500
```

Results
calculated formation energy	-211	meV/atom
DOS(E_F)	0.690	states/eV per atom

***

10.
Material: Pu2Ni4Ge3Sb
Method: DFT, PBE
State: relaxed

The structure in POSCAR format:
```
Pu2Ni4Ge3Sb
1.0
4.2229 0.0000 0.0000
0.0000 4.2229 0.0000
0.0000 0.0000 9.6639
Pu Ni Ge Sb
2 4 3 1
direct
0.0000 0.5000 0.2374
0.5000 0.0000 0.7626
0.0000 0.0000 0.0000
0.0000 0.5000 0.6351
0.5000 0.0000 0.3649
0.5000 0.5000 0.0000
0.0000 0.5000 0.8771
0.5000 0.0000 0.1229
0.5000 0.5000 0.5000
0.0000 0.0000 0.5000
```

Results
DOS(E_F)	2.889	states/eV per atom
energy relative to the elements, uncorrected	-0.4464	eV per atom

***

11.
Material: ScTcPCl2
Method: DFT, PBE
State: relaxed

The structure in POSCAR format:
```
ScTcPCl2
1.0
4.7730 0.0000 0.0000
0.0000 4.7730 0.0000
0.0000 0.0000 5.3936
Sc Tc P Cl
1 1 1 2
direct
0.0000 0.0000 0.0000
0.5000 0.5000 0.5000
0.0000 0.0000 0.5000
0.0000 0.5000 0.0000
0.5000 0.0000 0.0000
```

Results
DOS(E_F)	0.268	states/eV per atom
ΔE to the lowest computed polymorph	0.0	meV per atom
energy relative to the elements, uncorrected	-0.0404	eV per atom

***

12.
Material: Pu2MgZr
Method: DFT, PBE
State: relaxed

The structure in POSCAR format:
```
Pu2MgZr
1.0
3.9626 0.0000 0.0000
0.0000 3.9626 0.0000
0.0000 0.0000 6.5410
Pu Mg Zr
2 1 1
direct
0.0000 0.0000 0.2498
0.0000 0.0000 0.7502
0.5000 0.5000 0.0000
0.5000 0.5000 0.5000
```

Results
calculated formation energy	322	meV/atom
DOS(E_F)	3.815	states/eV per atom
ΔE to the lowest computed polymorph	155.0	meV per atom

***

13.
Material: BaMo2As
Method: DFT, PBE
State: relaxed

The structure in POSCAR format:
```
BaMo2As
1.0
4.6132 0.0000 0.0000
0.0000 4.6132 0.0000
0.0000 0.0000 3.6360
Ba Mo As
1 2 1
direct
0.0000 0.0000 0.0000
0.0000 0.5000 0.5000
0.5000 0.0000 0.5000
0.5000 0.5000 0.0000
```

Results
calculated formation energy	1087	meV/atom
DOS(E_F)	1.411	states/eV per atom

***

14.
Material: CuTe2Br
Method: DFT, PBE
State: relaxed

The structure in POSCAR format:
```
CuTe2Br
1.0
4.1301 0.0000 0.0000
0.0000 6.5573 0.0000
0.0000 0.0000 8.0801
Cu Te Br
2 4 2
direct
0.0000 0.0000 0.0000
0.5000 0.5000 0.0000
0.0000 0.5000 0.1880
0.0000 0.5000 0.8120
0.5000 0.0000 0.1880
0.5000 0.0000 0.8120
0.0000 0.0000 0.5000
0.5000 0.5000 0.5000
```

Results
DOS(E_F)	0.876	states/eV per atom
energy relative to the elements, uncorrected	0.0814	eV per atom

***

15.
Material: DyHg2Pd4
Method: DFT, PBE
State: relaxed

The structure in POSCAR format:
```
DyHg2Pd4
1.0
5.6336 0.0000 0.0000
2.7737 7.0868 0.0000
1.3756 3.5375 6.6562
Dy Hg Pd
2 4 8
direct
0.0000 0.0000 0.0000
0.4985 0.2346 0.5324
0.0036 0.6841 0.8262
0.3639 0.1071 0.2208
0.5037 0.7448 0.7047
0.8646 0.5608 0.3116
0.0006 0.4042 0.6998
0.0455 0.1047 0.5584
0.3441 0.5509 0.1225
0.3451 0.6754 0.4122
0.5010 0.3378 0.8334
0.5465 0.8968 0.9740
0.8437 0.9084 0.4086
0.8451 0.3221 0.1187
```

Results
calculated formation energy	-415	meV/atom
DOS(E_F)	0.411	states/eV per atom

***

16.
Material: Cr2GaAg
Method: DFT, PBE
State: relaxed

The structure in POSCAR format:
```
Cr2GaAg
1.0
6.9748 0.0000 0.0000
0.0000 6.9748 0.0000
0.0000 0.0000 5.0020
Cr Ga Ag
8 4 4
direct
0.2329 0.2500 0.1250
0.2500 0.7329 0.3750
0.2500 0.7671 0.8750
0.2671 0.2500 0.6250
0.7329 0.7500 0.6250
0.7500 0.2329 0.8750
0.7500 0.2671 0.3750
0.7671 0.7500 0.1250
0.0000 0.0000 0.0000
0.0000 0.5000 0.2500
0.5000 0.0000 0.7500
0.5000 0.5000 0.5000
0.0000 0.0000 0.5000
0.0000 0.5000 0.7500
0.5000 0.0000 0.2500
0.5000 0.5000 0.0000
```

Results
calculated formation energy	892	meV/atom
DOS(E_F)	1.410	states/eV per atom

***

17.
Material: La2Bi2S7
Method: DFT, PBE
State: relaxed

The structure in POSCAR format:
```
La2Bi2S7
1.0
-2.0102 7.3485 4.5604
2.0102 -7.3485 4.5604
2.0102 7.3485 -4.5604
La Bi S
2 2 7
direct
0.0000 0.0000 0.0000
0.5422 0.0422 0.5000
0.4439 0.1942 0.2497
0.9445 0.1942 0.7503
0.1880 0.5496 0.6384
0.2364 0.9150 0.3214
0.3226 0.3226 0.0000
0.5937 0.9150 0.6786
0.6106 0.7201 0.8906
0.8295 0.7201 0.1094
0.9112 0.5496 0.3616
```

Results
DOS(E_F)	0.445	states/eV per atom
energy relative to the elements, uncorrected	-0.9250	eV per atom

***

18.
Material: LaAl3Ge3
Method: DFT, PBE
State: relaxed

The structure in POSCAR format:
```
LaAl3Ge3
1.0
9.2977 0.0000 0.0000
-4.6489 8.0520 0.0000
0.0000 0.0000 3.9575
La Al Ge
2 6 6
direct
0.3333 0.6667 0.2500
0.6667 0.3333 0.7500
0.0536 0.8010 0.7500
0.1990 0.2527 0.7500
0.2527 0.0536 0.2500
0.7473 0.9464 0.7500
0.8010 0.7473 0.2500
0.9464 0.1990 0.2500
0.0425 0.4203 0.7500
0.3777 0.9575 0.7500
0.4203 0.3777 0.2500
0.5797 0.6223 0.7500
0.6223 0.0425 0.2500
0.9575 0.5797 0.2500
```

Results
calculated formation energy	-187	meV/atom
DOS(E_F)	0.521	states/eV per atom
ΔE to the lowest computed polymorph	128.2	meV per atom

***

19.
Material: FeNi2HOs
Method: DFT, PBE
State: relaxed

The structure in POSCAR format:
```
FeNi2HOs
1.0
3.6478 0.0000 0.0000
0.0000 3.6478 0.0000
0.0000 0.0000 3.8364
Fe Ni H Os
1 2 1 1
direct
0.0000 0.0000 0.0000
0.0000 0.5000 0.5000
0.5000 0.0000 0.5000
0.5000 0.5000 0.5000
0.5000 0.5000 0.0000
```

Results
DOS(E_F)	1.082	states/eV per atom
ΔE to the lowest computed polymorph	0.0	meV per atom

***

20.
Material: K2GeSe
Method: DFT, PBE
State: relaxed

The structure in POSCAR format:
```
K2GeSe
1.0
8.0038 0.0000 0.0000
0.0000 8.0038 0.0000
0.0000 0.0000 8.0038
K Ge Se
8 4 4
direct
0.2500 0.2500 0.2500
0.2500 0.2500 0.7500
0.2500 0.7500 0.2500
0.2500 0.7500 0.7500
0.7500 0.2500 0.2500
0.7500 0.2500 0.7500
0.7500 0.7500 0.2500
0.7500 0.7500 0.7500
0.0000 0.0000 0.0000
0.0000 0.5000 0.5000
0.5000 0.0000 0.5000
0.5000 0.5000 0.0000
0.0000 0.0000 0.5000
0.0000 0.5000 0.0000
0.5000 0.0000 0.0000
0.5000 0.5000 0.5000
```

Results
DOS(E_F)	0.715	states/eV per atom
ΔE to the lowest computed polymorph	84.4	meV per atom
energy relative to the elements, uncorrected	-0.1342	eV per atom